Material: Pr3YGa2
Method: DFT, GGA-PBE
State: optimized geometry

Properties
* energy relative to the lowest polymorph listed for this composition: 0 meV per atom
* symmetry: No. 26
* total magnetic moment: 0.000 μB per atom

a b c (Å): 5.1785 9.7596 6.7299
angles (deg): 90.00 90.00 90.00
With the nearest neighbours (Å) after each atom.
Positions (direct):
Pr  0.0000  0.0506  0.0000  3 Ga 3.16-3.20, 4 Pr 3.49-3.51
Pr  0.0000  0.3349  0.3340  4 Ga 3.06-3.23
Pr  0.0000  0.6651  0.8340  4 Ga 3.06-3.23
Pr  0.0000  0.9494  0.5000  3 Ga 3.16-3.20, 4 Pr 3.49-3.51
Pr  0.5000  0.1749  0.7016  5 Ga 3.18-3.54, 1 Y 3.44, 2 Pr 3.49
Pr  0.5000  0.8251  0.2016  5 Ga 3.18-3.54, 1 Y 3.44, 2 Pr 3.49
Y  0.5000  0.4436  0.0333  3 Ga 3.11-3.14, 3 Pr 3.44-3.45
Y  0.5000  0.5564  0.5333  3 Ga 3.11-3.14, 3 Pr 3.44-3.45
Ga  0.0000  0.3520  0.8133  5 Pr 3.06-3.23, 2 Y 3.11
Ga  0.0000  0.6480  0.3133  5 Pr 3.06-3.23, 2 Y 3.11
Ga  0.5000  0.1510  0.2270  1 Y 3.14, 6 Pr 3.16-3.23
Ga  0.5000  0.8490  0.7270  1 Y 3.14, 6 Pr 3.16-3.23

=====

Material: Pr4YGa4
Method: DFT, GGA-PBE
State: optimized geometry

Properties
* symmetry: No. 87
* total magnetic moment: 0.000 μB per atom

a b c (Å): 7.7389 7.7389 7.7389
angles (deg): 95.56 95.56 143.73
With the nearest neighbours (Å) after each atom.
Positions (direct):
Pr  0.1340  0.6471  0.7810  4 Ga 3.07-3.17
Pr  0.3529  0.1340  0.4869  4 Ga 3.07-3.17
Pr  0.6471  0.8660  0.5131  4 Ga 3.07-3.17
Pr  0.8660  0.3529  0.2190  4 Ga 3.07-3.17
Y  0.0000  0.0000  0.0000  8 Ga 3.05
Ga  0.3340  0.4305  0.7646  2 Ga 2.65
Ga  0.4305  0.6660  0.0965  2 Ga 2.65
Ga  0.5695  0.3340  0.9035  2 Ga 2.65
Ga  0.6660  0.5695  0.2354  2 Ga 2.65

=====

Material: Pr7ZnGa5
Method: DFT, GGA-PBE
State: optimized geometry

Properties
* symmetry: No. 44
* total magnetic moment: 0.000 μB per atom

a b c (Å): 8.0837 8.0837 8.0837
angles (deg): 132.44 103.33 95.43
With the nearest neighbours (Å) after each atom.
Positions (direct):
Pr  0.0000  0.0000  0.0000  4 Ga 3.21, 2 Pr 3.41, 1 Zn 3.41
Pr  0.3079  0.6210  0.6870  5 Ga 3.10-3.37, 1 Zn 3.22
Pr  0.3752  0.3752  0.0000  6 Ga 3.13-3.26, 1 Zn 3.38
Pr  0.4236  0.1027  0.3209  3 Ga 3.06-3.21, 2 Pr 3.19-3.41
Pr  0.7818  0.1027  0.6791  3 Ga 3.06-3.21, 2 Pr 3.19-3.41
Pr  0.8453  0.3453  0.5000  4 Ga 3.06, 2 Pr 3.19
Pr  0.9340  0.6210  0.3130  5 Ga 3.10-3.37, 1 Zn 3.22
Zn  0.6862  0.6862  0.0000  4 Pr 3.22-3.41, 4 Ga 3.46
Ga  0.1101  0.0877  0.4683  2 Ga 2.91-2.94, 5 Pr 3.06-3.21
Ga  0.1101  0.6418  0.0223  2 Ga 2.91-2.94, 5 Pr 3.06-3.21
Ga  0.3580  0.8580  0.5000  4 Ga 2.94, 6 Pr 3.19-3.26
Ga  0.6195  0.0877  0.9777  2 Ga 2.91-2.94, 5 Pr 3.06-3.21
Ga  0.6195  0.6418  0.5317  2 Ga 2.91-2.94, 5 Pr 3.06-3.21

=====

Material: PrZn3Ga4
Method: DFT, GGA-PBE
State: optimized geometry

Properties
* symmetry: No. 123
* total magnetic moment: 0.000 μB per atom

a b c (Å): 4.4043 4.4043 7.8728
angles (deg): 90.00 90.00 90.00
With the nearest neighbours (Å) after each atom.
Positions (direct):
Pr  0.0000  0.0000  0.0000  8 Zn 3.34, 8 Ga 3.37
Zn  0.0000  0.0000  0.5000  8 Ga 2.60
Zn  0.5000  0.5000  0.1522  1 Zn 2.40, 4 Ga 2.58
Zn  0.5000  0.5000  0.8478  1 Zn 2.40, 4 Ga 2.58
Ga  0.0000  0.5000  0.3233  4 Zn 2.58-2.60, 1 Ga 2.78
Ga  0.0000  0.5000  0.6767  4 Zn 2.58-2.60, 1 Ga 2.78
Ga  0.5000  0.0000  0.3233  4 Zn 2.58-2.60, 1 Ga 2.78
Ga  0.5000  0.0000  0.6767  4 Zn 2.58-2.60, 1 Ga 2.78

=====

Material: Pr3Zn4Ga4
Method: DFT, GGA-PBE
State: optimized geometry

Properties
* symmetry: No. 71
* total magnetic moment: 0.000 μB per atom

a b c (Å): 13.1068 13.1068 13.1068
angles (deg): 161.49 160.71 26.85
With the nearest neighbours (Å) after each atom.
Positions (direct):
Pr  0.0000  0.0000  0.0000  4 Zn 3.23, 8 Ga 3.30
Pr  0.3492  0.8492  0.5000  6 Ga 3.23-3.33, 8 Zn 3.27-3.37
Pr  0.6508  0.1508  0.5000  6 Ga 3.23-3.33, 8 Zn 3.27-3.37
Zn  0.0960  0.5960  0.5000  3 Ga 2.48-2.49
Zn  0.2511  0.2511  0.0000  4 Ga 2.57-2.61
Zn  0.7489  0.7489  0.0000  4 Ga 2.57-2.61
Zn  0.9040  0.4040  0.5000  3 Ga 2.48-2.49
Ga  0.1934  0.6934  0.5000  5 Zn 2.48-2.61
Ga  0.4502  0.4502  0.0000  2 Zn 2.49, 1 Ga 2.54
Ga  0.5498  0.5498  0.0000  2 Zn 2.49, 1 Ga 2.54
Ga  0.8066  0.3066  0.5000  5 Zn 2.48-2.61

=====

Material: Pr3Zn2Ga4
Method: DFT, GGA-PBE
State: optimized geometry

Properties
* symmetry: No. 12
* total magnetic moment: 0.000 μB per atom

a b c (Å): 5.9743 5.9743 8.6806
angles (deg): 106.05 106.05 43.90
With the nearest neighbours (Å) after each atom.
Positions (direct):
Pr  0.0000  0.0000  0.0000  8 Ga 3.13-3.39, 4 Zn 3.25
Pr  0.3326  0.3326  0.3321  8 Ga 3.13-3.36, 4 Zn 3.24-3.26
Pr  0.6674  0.6674  0.6679  8 Ga 3.13-3.36, 4 Zn 3.24-3.26
Zn  0.3905  0.3905  0.7211  3 Ga 2.58-2.60
Zn  0.6095  0.6095  0.2789  3 Ga 2.58-2.60
Ga  0.0668  0.0668  0.4021  1 Ga 2.57, 2 Zn 2.58
Ga  0.2950  0.2950  0.9602  1 Zn 2.60, 2 Ga 2.62
Ga  0.7050  0.7050  0.0398  1 Zn 2.60, 2 Ga 2.62
Ga  0.9332  0.9332  0.5979  1 Ga 2.57, 2 Zn 2.58

=====

Material: Pr3Zn8Ga
Method: DFT, GGA-PBE
State: optimized geometry

Properties
* symmetry: No. 160
* total magnetic moment: 0.000 μB per atom

a b c (Å): 9.4847 9.4847 9.4847
angles (deg): 34.33 34.33 34.33
With the nearest neighbours (Å) after each atom.
Positions (direct):
Pr  0.0000  0.0000  0.0000  12 Zn 3.11-3.32, 3 Ga 3.32, 1 Pr 3.39
Pr  0.1268  0.1268  0.1268  12 Zn 3.23-3.29, 4 Pr 3.39-3.56
Pr  0.5160  0.5160  0.5160  12 Zn 3.11-3.49, 1 Ga 3.28
Zn  0.0666  0.0666  0.5681  6 Zn 2.78-2.81
Zn  0.0666  0.5681  0.0666  6 Zn 2.78-2.81
Zn  0.0698  0.5653  0.5653  6 Zn 2.72-2.82, 1 Ga 3.02
Zn  0.3180  0.3180  0.3180  6 Zn 2.72-2.78
Zn  0.5653  0.0698  0.5653  6 Zn 2.72-2.82, 1 Ga 3.02
Zn  0.5653  0.5653  0.0698  6 Zn 2.72-2.82, 1 Ga 3.02
Zn  0.5681  0.0666  0.0666  6 Zn 2.78-2.81
Zn  0.8154  0.8154  0.8154  6 Zn 2.73-2.79
Ga  0.6385  0.6385  0.6385  6 Zn 3.02-3.25, 4 Pr 3.28-3.32

=====

Material: Pr6ZnGa2
Method: DFT, GGA-PBE
State: optimized geometry

Properties
* energy relative to the lowest polymorph listed for this composition: 141 meV per atom
* symmetry: No. 12
* total magnetic moment: 0.000 μB per atom

a b c (Å): 8.8849 8.8849 5.1421
angles (deg): 106.62 106.62 48.50
With the nearest neighbours (Å) after each atom.
Positions (direct):
Pr  0.0837  0.5841  0.3342  1 Zn 3.14, 3 Ga 3.15
Pr  0.2493  0.7507  0.0000  2 Zn 3.15, 2 Ga 3.15
Pr  0.4159  0.9163  0.6658  1 Zn 3.14, 3 Ga 3.15
Pr  0.5841  0.0837  0.3342  1 Zn 3.14, 3 Ga 3.15
Pr  0.7507  0.2493  0.0000  2 Zn 3.15, 2 Ga 3.15
Pr  0.9163  0.4159  0.6658  1 Zn 3.14, 3 Ga 3.15
Zn  0.0000  0.0000  0.5000  8 Pr 3.14-3.15
Ga  0.3331  0.3331  0.8335  8 Pr 3.15
Ga  0.6669  0.6669  0.1665  8 Pr 3.15

=====

Material: PrZn3Ga3
Method: DFT, GGA-PBE
State: optimized geometry

Properties
* energy relative to the lowest polymorph listed for this composition: 0 meV per atom
* symmetry: No. 11
* total magnetic moment: 0.000 μB per atom

a b c (Å): 7.0633 4.3957 9.1303
angles (deg): 90.00 111.32 90.00
With the nearest neighbours (Å) after each atom.
Positions (direct):
Pr  0.1447  0.2500  0.2461  9 Ga 3.13-3.38, 5 Zn 3.28-3.43
Pr  0.8553  0.7500  0.7539  9 Ga 3.13-3.38, 5 Zn 3.28-3.43
Zn  0.2224  0.2500  0.8861  3 Ga 2.59-2.60, 3 Zn 2.76-2.81
Zn  0.4407  0.7500  0.8386  2 Ga 2.63-2.76, 5 Zn 2.65-2.81
Zn  0.4597  0.2500  0.6828  5 Ga 2.54-2.71, 2 Zn 2.65
Zn  0.5403  0.7500  0.3172  5 Ga 2.54-2.71, 2 Zn 2.65
Zn  0.5593  0.2500  0.1614  2 Ga 2.63-2.76, 5 Zn 2.65-2.81
Zn  0.7776  0.7500  0.1139  3 Ga 2.59-2.60, 3 Zn 2.76-2.81
Ga  0.0478  0.2500  0.5824  2 Zn 2.59-2.71, 3 Ga 2.61-2.69
Ga  0.2618  0.7500  0.0458  4 Zn 2.54-2.63
Ga  0.3611  0.7500  0.5189  4 Zn 2.59-2.76, 1 Ga 2.69
Ga  0.6389  0.2500  0.4811  4 Zn 2.59-2.76, 1 Ga 2.69
Ga  0.7382  0.2500  0.9542  4 Zn 2.54-2.63
Ga  0.9522  0.7500  0.4176  2 Zn 2.59-2.71, 3 Ga 2.61-2.69

=====

Material: PrZn2Ga
Method: DFT, GGA-PBE
State: optimized geometry

Properties
* symmetry: No. 123
* total magnetic moment: 0.000 μB per atom

a b c (Å): 4.3426 4.3426 4.5338
angles (deg): 90.00 90.00 90.00
With the nearest neighbours (Å) after each atom.
Positions (direct):
Pr  0.0000  0.0000  0.0000  4 Ga 3.07, 8 Zn 3.14
Zn  0.0000  0.5000  0.5000  4 Zn 3.07, 4 Ga 3.14, 4 Pr 3.14
Zn  0.5000  0.0000  0.5000  4 Zn 3.07, 4 Ga 3.14, 4 Pr 3.14
Ga  0.5000  0.5000  0.0000  4 Pr 3.07, 8 Zn 3.14

=====

Material: Pr2Zn2Ga5
Method: DFT, GGA-PBE
State: optimized geometry

Properties
* symmetry: No. 123
* total magnetic moment: 0.000 μB per atom

a b c (Å): 4.3035 4.3035 10.0180
angles (deg): 90.00 90.00 90.00
With the nearest neighbours (Å) after each atom.
Positions (direct):
Pr  0.0000  0.0000  0.0000  8 Zn 3.27, 8 Ga 3.44
Pr  0.0000  0.0000  0.5000  12 Ga 3.04-3.17
Zn  0.5000  0.5000  0.1194  1 Zn 2.39, 4 Ga 2.61
Zn  0.5000  0.5000  0.8806  1 Zn 2.39, 4 Ga 2.61
Ga  0.0000  0.5000  0.2677  2 Zn 2.61
Ga  0.0000  0.5000  0.7323  2 Zn 2.61
Ga  0.5000  0.0000  0.2677  2 Zn 2.61
Ga  0.5000  0.0000  0.7323  2 Zn 2.61
Ga  0.5000  0.5000  0.5000  4 Pr 3.04, 8 Ga 3.17

=====

In kJ per mole of atoms, the E_form values for the records above are, in order, -38.0 -38.4 -31.5 -27.7 -49.2 -56.0 -23.5 -14.5 -29.3 -27.8 -41.3.